(1)
BaTaOs2 | PBEsol | relaxed

Cell lengths 3.1305, 5.1257, 6.0223 Å; angles 103.02, 90.00, 107.78 degrees
Positions (direct):
Os  0.2520  0.5040  0.7678
Os  0.9683  0.9366  0.8833
Ta  0.5416  0.0832  0.6115
Ba  0.7381  0.4761  0.2374

Values from the calculation:
- DOS at the Fermi energy (states/eV/f.u.) = 3.4
- ΔH_f (0 K) (eV/atom) = 0.698
- DFT total energy (eV per atom) = -9.085



(2)
TcTe2IrI | PBEsol | relaxed

Cell lengths 5.1541, 5.1541, 5.3419 Å; angles 90.00, 90.00, 90.00 degrees
Each line ends with the local moment (μB).
Positions (direct):
Te  0.5000  0.0000  0.0000  -0.07
Te  0.0000  0.5000  0.0000  -0.07
Tc  0.5000  0.5000  0.5000  3.85
Ir  0.0000  0.0000  0.0000  -0.16
I  0.0000  0.0000  0.5000  0.07

Values from the calculation:
- raw formation energy (kJ/mol of atoms) = 124.1
- DOS at the Fermi energy (states/eV/f.u.) = 4.9
- DFT total energy (eV per atom) = -4.695



(3)
CrNiIr2 | PBEsol | relaxed

Cell lengths 4.1887, 4.1887, 4.1887 Å; angles 60.00, 60.00, 60.00 degrees
Each line ends with the local moment (μB).
Positions (direct):
Ni  0.7500  0.7500  0.7500  0.20
Ir  0.0000  0.0000  0.0000  -0.09
Ir  0.2500  0.2500  0.2500  0.21
Cr  0.5000  0.5000  0.5000  1.60

Values from the calculation:
- DOS at the Fermi energy (states/eV/f.u.) = 7.5
- ΔH_f (0 K) (eV/atom) = 0.309
- DFT total energy (eV per atom) = -8.703



(4)
Li4Mg3 | PBEsol | relaxed

Cell lengths 5.2820, 5.8227, 5.8227 Å; angles 120.00, 90.00, 90.00 degrees
Positions (direct):
Mg  0.0000  0.5000  0.5000
Mg  0.0000  0.5000  0.0000
Mg  0.0000  0.0000  0.5000
Li  0.2500  0.0000  0.0000
Li  0.5000  0.6667  0.3333
Li  0.7500  0.0000  0.0000
Li  0.5000  0.3333  0.6667

Values from the calculation:
- DOS at the Fermi energy (states/eV/f.u.) = 3.1
- ΔH_f (0 K) (eV/atom) = 0.025
- energy above the most stable polymorph in this dataset (meV/atom) = 71
- DFT total energy (eV per atom) = -1.834



(5)
K2Hg2Pd | PBEsol | relaxed

Cell lengths 5.3554, 7.2209, 7.2209 Å; angles 90.00, 90.00, 90.00 degrees
Positions (direct):
K  0.5000  0.3242  0.1758
K  0.5000  0.6758  0.8242
K  0.5000  0.1758  0.6758
K  0.5000  0.8242  0.3242
Hg  0.0000  0.3515  0.8515
Hg  0.0000  0.6485  0.1485
Hg  0.0000  0.8515  0.6485
Hg  0.0000  0.1485  0.3515
Pd  0.0000  0.5000  0.5000
Pd  0.0000  0.0000  0.0000

Values from the calculation:
- DOS at the Fermi energy (states/eV/f.u.) = 1.9
- ΔH_f (0 K) (eV/atom) = -0.123
- DFT total energy (eV per atom) = -1.995



(6)
Be2HgBr | PBEsol | relaxed

Cell lengths 4.7741, 4.7741, 4.7741 Å; angles 60.00, 60.00, 60.00 degrees
Positions (direct):
Be  0.7500  0.7500  0.7500
Be  0.0000  0.0000  0.0000
Hg  0.2500  0.2500  0.2500
Br  0.5000  0.5000  0.5000

Values from the calculation:
- raw formation energy (kJ/mol of atoms) = 106.3
- DOS at the Fermi energy (states/eV/f.u.) = 2.5
- energy above the most stable polymorph in this dataset (meV/atom) = 629
- DFT total energy (eV per atom) = -1.508



(7)
CaLaCrRe2 | PBEsol | relaxed

Cell lengths 4.7514, 4.7930, 4.7930 Å; angles 90.00, 90.00, 90.00 degrees
Each line ends with the local moment (μB).
Positions (direct):
La  0.5000  0.5000  0.5000  0.02
Re  0.0000  0.5000  0.0000  -0.61
Re  0.0000  0.0000  0.5000  -0.61
Ca  0.0000  0.0000  0.0000  0.08
Cr  0.5000  0.0000  0.0000  3.65

Values from the calculation:
- DOS at the Fermi energy (states/eV/f.u.) = 6.6
- ΔH_f (0 K) (eV/atom) = 2.204
- DFT total energy (eV per atom) = -6.673



(8)
TiReC3 | PBEsol | relaxed

Cell lengths 3.9276, 3.9276, 3.9276 Å; angles 90.00, 90.00, 90.00 degrees
Each line ends with the local moment (μB).
Positions (direct):
C  0.5000  0.0000  0.0000  -0.01
C  0.0000  0.5000  0.0000  -0.01
C  0.0000  0.0000  0.5000  -0.01
Re  0.0000  0.0000  0.0000  0.00
Ti  0.5000  0.5000  0.5000  0.26

Values from the calculation:
- DOS at the Fermi energy (states/eV/f.u.) = 3.4
- ΔH_f (0 K) (eV/atom) = 1.438
- energy above the most stable polymorph in this dataset (meV/atom) = 0
- DFT total energy (eV per atom) = -8.679



(9)
Ag2Pt | PBEsol | relaxed

Cell lengths 2.7970, 2.7970, 6.3932 Å; angles 102.64, 102.64, 90.00 degrees
Positions (direct):
Pt  0.0000  0.0000  0.0000
Ag  0.6647  0.6647  0.3294
Ag  0.3353  0.3353  0.6706

Values from the calculation:
- DOS at the Fermi energy (states/eV/f.u.) = 1.4
- ΔH_f (0 K) (eV/atom) = 0.013
- energy above the most stable polymorph in this dataset (meV/atom) = 21
- DFT total energy (eV per atom) = -4.515



(10)
CoSnCl2 | PBEsol | relaxed

Cell lengths 3.2748, 3.2748, 9.1695 Å; angles 79.71, 79.71, 60.00 degrees
Each line ends with the local moment (μB).
Positions (direct):
Co  0.0000  0.0000  0.0000  1.97
Cl  0.0778  0.0778  0.7665  0.08
Cl  0.9222  0.9222  0.2335  0.08
Sn  0.5000  0.5000  0.5000  -0.01

Values from the calculation:
- raw formation energy (kJ/mol of atoms) = -6.5
- DOS at the Fermi energy (states/eV/f.u.) = 4.0
- DFT total energy (eV per atom) = -4.070



(11)
Cs2NaI | PBEsol | relaxed

Cell lengths 6.7146, 6.7146, 6.7146 Å; angles 60.00, 60.00, 60.00 degrees
Positions (direct):
I  0.5000  0.5000  0.5000
Na  0.0000  0.0000  0.0000
Cs  0.2500  0.2500  0.2500
Cs  0.7500  0.7500  0.7500

Values from the calculation:
- raw formation energy (kJ/mol of atoms) = -61.0
- DFT total energy (eV per atom) = -1.895



(12)
ReGeSb3 | PBEsol | relaxed

Cell lengths 5.1104, 5.1104, 5.1104 Å; angles 90.00, 90.00, 90.00 degrees
Positions (direct):
Ge  0.5000  0.5000  0.5000
Re  0.0000  0.0000  0.0000
Sb  0.0000  0.0000  0.5000
Sb  0.5000  0.0000  0.0000
Sb  0.0000  0.5000  0.0000

Values from the calculation:
- raw formation energy (kJ/mol of atoms) = 78.0
- DOS at the Fermi energy (states/eV/f.u.) = 4.7
- energy above the most stable polymorph in this dataset (meV/atom) = 0
- DFT total energy (eV per atom) = -5.580